[1]
Below is crystalline Tl2HgAsS4 at its relaxed geometry, with properties calculated at the PBE level.

Its total DFT energy (no corrections) is -3.33 eV/atom. The uncorrected formation energy comes out at -0.06 eV/atom.

It has space group Fddd (No. 70, origin choice 2), with a = 6.4405 Å, b = 13.1573 Å, c = 23.3509 Å, α = 90.00°, β = 90.00° and γ = 90.00°. The distinct sites, in fractional coordinates, are Tl at (0.1250, 0.1250, 0.3176), Hg at (0.1250, 0.1250, 0.1250), As at (0.1250, 0.1250, 0.6250) and S at (0.0912, 0.2646, 0.8247).

***

[2]
Below is crystalline TlHg2AsS4 at its relaxed geometry, with properties calculated at the PBE level.

Its total DFT energy (no corrections) is -3.09 eV/atom. The uncorrected formation energy comes out at -0.07 eV/atom.

It has space group I222 (No. 23), with a = 6.7342 Å, b = 7.9224 Å, c = 8.5811 Å, α = 90.00°, β = 90.00° and γ = 90.00°. The distinct sites, in fractional coordinates, are Tl at (0.0000, 0.0000, 0.0000), Hg at (0.0000, 0.5000, 0.1865), As at (0.0000, 0.0000, 0.5000) and S at (0.2166, 0.1799, 0.3314).

***

[3]
Below is crystalline TlHgAs3S6 at its relaxed geometry, with properties calculated at the PBE level.

Its total DFT energy (no corrections) is -3.94 eV/atom. The uncorrected formation energy comes out at -0.18 eV/atom.

It has space group P2_1/c (No. 14), with a = 6.1714 Å, b = 12.2470 Å, c = 17.2926 Å, α = 90.00°, β = 109.84° and γ = 90.00°. The distinct sites, in fractional coordinates, are Tl at (0.0712, 0.1154, 0.1961), Hg at (0.1709, 0.5955, 0.0975), As at (0.3094, 0.1742, 0.9175), As at (0.4081, 0.6323, 0.9325), As at (0.4408, 0.1292, 0.7450), S at (0.0620, 0.6369, 0.9508), S at (0.2285, 0.6409, 0.7894), S at (0.2567, 0.1508, 0.3841), S at (0.3585, 0.6386, 0.6180), S at (0.3703, 0.5534, 0.2427) and S at (0.4986, 0.1838, 0.0568).